First-principles (PBE-GGA) data for crystalline Ba3Na5Br12 at its relaxed geometry, as listed in Alexandria via LeMat-Bulk.

Cell and atoms, written as CIF:
```
data_Ba3Na5Br12
_cell_length_a 18.0530
_cell_length_b 18.0530
_cell_length_c 18.0530
_cell_angle_alpha 90.00
_cell_angle_beta 90.00
_cell_angle_gamma 90.00
_symmetry_space_group_name_H-M 'I a -3 d'
_symmetry_Int_Tables_number 230
_symmetry_space_group_name_Hall '-I 4bd 2c 3'
loop_
_atom_site_label
_atom_site_fract_x
_atom_site_fract_y
_atom_site_fract_z
Ba1 0.0000 0.2500 0.1250
Na1 0.0000 0.0000 0.0000
Na2 0.0000 0.2500 0.3750
Br1 0.0232 0.0657 0.6528
```

Summary:
formation energy without anion corrections	-1691	meV/atom
D(E_F)	307.2	states/eV per cell
calculated total energy	-3.3130	eV per atom